(1)
The following is a PBE calculation of an optimized crystal structure of MgCo3Au, from the Alexandria database.

a = 4.700 Å, b = 4.700 Å, c = 4.700 Å
α = 90.00°, β = 90.00°, γ = 90.00°
Fractional positions:
Au (0.000, 0.000, 0.000)
Co (0.000, 0.500, 0.000)
Mg (0.500, 0.500, 0.500)
Co (0.500, 0.000, 0.000)
Co (0.000, 0.000, 0.500)

Calculated values
N(E_F)   8.25 states/eV/f.u.
Electronic total energy   -3.994 eV/atom
Space-group type   Pm-3m

(2)
The following is a PBE calculation of an optimized crystal structure of Ac5SmPb6, from the Alexandria database.

a = 5.446 Å, b = 9.319 Å, c = 9.777 Å
α = 61.54°, β = 74.35°, γ = 90.00°
Fractional positions:
Ac (0.668, 0.669, 0.663)
Sm (0.000, 0.000, 0.000)
Ac (0.000, 0.500, 0.000)
Pb (0.161, 0.915, 0.678)
Pb (0.839, 0.085, 0.322)
Ac (0.665, 0.165, 0.671)
Ac (0.335, 0.835, 0.329)
Pb (0.839, 0.593, 0.322)
Pb (0.500, 0.755, 0.000)
Ac (0.332, 0.331, 0.337)
Pb (0.161, 0.407, 0.678)
Pb (0.500, 0.245, 0.000)

Calculated values
N(E_F)   11.09 states/eV/f.u.
Electronic total energy   -4.436 eV/atom
Space-group type   C2/m

- Look up the N(E_F) of the first one.
  8.25 states/eV/f.u.

- Among the records above, which one has the lowest electronic total energy?
  Ac5SmPb6

- Which value of N(E_F) does entry 1 give?
  8.25 states/eV/f.u.